Compound: LiMn2WO6
Source: the Alexandria database
Functional: PBE with a Hubbard U
Structure: optimized geometry

Values from the calculation:
Space-group type: P1
Magnetic moment (μB/f.u.): 9.00
Uncorrected energy (eV/atom): -7.25

Structure (POSCAR):
```
LiMn2WO6
1.0
5.230 0.134 -0.139
2.732 4.630 -0.139
2.526 1.515 4.808
O Mn Li W
6 2 1 1
Cartesian
3.692 3.082 3.567
4.334 1.418 0.957
5.913 4.529 3.610
7.196 3.131 0.990
4.430 4.772 0.790
6.060 1.831 3.559
5.253 3.136 1.892
2.528 1.543 4.619
7.777 4.752 2.792
2.600 1.611 0.041
```


Compound: Li2MnWO6
Source: the Alexandria database
Functional: PBE with a Hubbard U
Structure: optimized geometry

Values from the calculation:
Space-group type: R3
Magnetic moment (μB/f.u.): 2.97
Uncorrected energy (eV/atom): -6.68

Structure (POSCAR):
```
Li2MnWO6
1.0
5.084 0.000 0.000
2.542 4.403 0.000
2.542 1.468 4.456
O Mn Li W
6 1 2 1
Cartesian
4.484 4.384 3.420
6.084 4.210 1.190
4.129 1.692 3.420
3.480 3.164 1.190
5.688 1.431 1.190
6.638 2.730 3.420
2.542 1.468 4.448
7.626 4.403 2.895
2.542 1.468 0.640
5.084 2.935 2.221
```


Compound: LiY2MnO5
Source: the Alexandria database
Functional: PBE with a Hubbard U
Structure: optimized geometry

Values from the calculation:
Space-group type: P4/mbm
Magnetic moment (μB/f.u.): 3.99
Uncorrected energy (eV/atom): -7.76

Structure (POSCAR):
```
LiY2MnO5
1.0
-1.969 5.272 0.851
-4.271 -2.286 4.278
4.304 0.841 4.747
O Mn Y Li
10 2 4 2
Cartesian
-2.433 3.279 2.848
-0.512 3.251 7.464
-1.423 0.576 2.411
-3.613 2.323 6.041
-2.603 -0.380 5.604
-0.984 2.636 0.425
0.667 4.207 4.271
-0.968 1.914 4.938
0.497 0.548 7.028
1.677 1.504 3.835
-2.135 -1.143 2.139
2.152 0.421 2.373
1.178 2.591 5.710
-1.582 1.326 7.160
-0.354 2.502 2.716
-3.114 1.237 4.165
0.017 -0.722 4.512
0.000 0.000 0.000
```


Compound: Li4Y3MnO8
Source: the Alexandria database
Functional: PBE with a Hubbard U
Structure: optimized geometry

Values from the calculation:
Space-group type: C222
Magnetic moment (μB/f.u.): 4.00
Uncorrected energy (eV/atom): -7.21

Structure (POSCAR):
```
Li4Y3MnO8
1.0
6.069 -0.006 0.000
-2.981 5.286 0.000
0.000 0.000 6.118
O Li Mn Y
8 4 1 3
Cartesian
2.185 4.144 1.618
0.903 1.136 1.618
3.479 1.508 0.000
0.548 1.344 4.499
-0.982 4.117 3.059
2.540 3.936 4.499
4.070 1.163 3.059
-0.391 3.772 0.000
-1.491 2.643 1.575
3.034 -0.003 4.543
0.000 0.000 0.000
1.544 2.640 3.059
0.000 0.000 3.059
-1.491 2.643 4.548
1.544 2.640 0.000
3.034 -0.003 1.569
```


Compound: Li2MnZnO4
Source: the Alexandria database
Functional: PBE with a Hubbard U
Structure: optimized geometry

Values from the calculation:
Space-group type: P2/m
Magnetic moment (μB/f.u.): 3.00
Uncorrected energy (eV/atom): -5.69

Structure (POSCAR):
```
Li2MnZnO4
1.0
2.932 0.000 0.000
0.000 5.237 0.051
0.000 -1.866 4.810
Zn O Li Mn
1 4 2 1
Cartesian
0.000 0.000 0.000
1.466 0.994 1.085
0.000 3.336 1.143
1.466 2.377 3.775
0.000 0.035 3.717
0.000 1.686 2.430
1.466 -0.933 2.405
1.466 2.619 0.025
```


Which value of magnetic moment does entry 4 give?
4.00 μB/f.u.